# 1
Li4PrCdIn2 PBE-GGA optimized geometry; space-group type = R-3m, No. 166; D(E_F) = 4.2 states/eV/cell; crystal system = trigonal; energy of formation from the pure elements = -246 meV/atom; magnetic moment = 0.0 μB/f.u.
1.0
2.460 1.420 8.114
-2.460 1.420 8.114
0.000 -2.841 8.114
Li Pr Cd In
4 1 1 2
Direct
0.109 0.109 0.109
0.365 0.365 0.365
0.635 0.635 0.635
0.891 0.891 0.891
0.500 0.500 0.500
0.000 0.000 0.000
0.242 0.242 0.242
0.758 0.758 0.758

# 2
CsRb3Te4 PBE-GGA optimized geometry; formation energy without anion corrections = -5.83 eV per formula unit; space-group type = C2/m, No. 12; crystal system = monoclinic; magnetic moment = 0.0 μB/f.u.; energy relative to the lowest polymorph listed for this composition = 23.5 meV per atom
1.0
24.331 0.000 0.000
0.000 5.956 0.000
-2.916 0.000 8.129
Cs Rb Te
2 6 8
Direct
0.000 0.000 0.000
0.500 0.500 0.000
0.000 0.500 0.500
0.184 0.500 0.525
0.316 0.000 0.475
0.500 0.000 0.500
0.684 0.000 0.525
0.816 0.500 0.475
0.083 0.000 0.469
0.154 0.000 0.269
0.346 0.500 0.731
0.417 0.500 0.531
0.583 0.500 0.469
0.654 0.500 0.269
0.846 0.000 0.731
0.917 0.000 0.531

# 3
Np2HgBr6 PBE-GGA optimized geometry; formation energy without anion corrections = -10.51 eV per formula unit; space-group type = P-31m, No. 162; D(E_F) = 17.3 states/eV/cell; crystal system = trigonal; magnetic moment = 8.0 μB/f.u.
1.0
7.475 0.000 0.000
-3.737 6.473 0.000
0.000 0.000 8.972
Np Hg Br
2 1 6
Direct
0.333 0.667 0.000
0.667 0.333 0.000
0.000 0.000 0.500
0.000 0.368 0.183
0.000 0.632 0.817
0.368 0.000 0.183
0.368 0.368 0.817
0.632 0.000 0.817
0.632 0.632 0.183

# 4
Sc2Be2Pd PBE-GGA optimized geometry; space-group type = P4/mbm, No. 127; D(E_F) = 11.0 states/eV/cell; crystal system = tetragonal; energy of formation from the pure elements = -336 meV/atom; magnetic moment = 0.0 μB/f.u.
1.0
6.455 0.000 0.000
0.000 6.455 0.000
0.000 0.000 3.715
Sc Be Pd
4 4 2
Direct
0.176 0.324 0.000
0.324 0.824 0.000
0.676 0.176 0.000
0.824 0.676 0.000
0.119 0.619 0.500
0.381 0.119 0.500
0.619 0.881 0.500
0.881 0.381 0.500
0.000 0.000 0.500
0.500 0.500 0.500

# 5
Na3Sm2SnO6 PBE-GGA optimized geometry; formation energy without anion corrections = -26.62 eV per formula unit; space-group type = C2/m, No. 12; D(E_F) = 4.8 states/eV/cell; crystal system = monoclinic; magnetic moment = 0.0 μB/f.u.
1.0
3.018 -5.229 0.000
3.018 5.229 0.000
-1.993 0.000 5.645
Na Sm Sn O
3 2 1 6
Direct
0.000 0.000 0.000
0.343 0.657 0.000
0.657 0.343 0.000
0.167 0.833 0.500
0.833 0.167 0.500
0.500 0.500 0.500
0.102 0.428 0.284
0.243 0.243 0.716
0.428 0.102 0.284
0.572 0.898 0.716
0.757 0.757 0.284
0.898 0.572 0.716

# 6
LiSbPb2 PBE-GGA optimized geometry; formation energy without anion corrections = -0.42 eV per formula unit; space-group type = Cm, No. 8; D(E_F) = 2.5 states/eV/cell; crystal system = monoclinic; magnetic moment = 0.0 μB/f.u.
1.0
10.357 0.000 0.000
0.000 3.378 0.000
-0.993 0.000 6.404
Li Sb Pb
2 2 4
Direct
0.000 0.000 0.000
0.500 0.500 0.000
0.234 0.500 0.173
0.734 0.000 0.173
0.001 0.500 0.467
0.253 0.000 0.743
0.501 0.000 0.467
0.753 0.500 0.743

# 7
Ba2PmTl2 PBE-GGA optimized geometry; space-group type = Ibam, No. 72; D(E_F) = 12.0 states/eV/cell; crystal system = orthorhombic; energy of formation from the pure elements = -162 meV/atom; magnetic moment = 0.4 μB/f.u.
1.0
-4.902 6.729 3.303
4.902 -6.729 3.303
4.902 6.729 -3.303
Ba Pm Tl
4 2 4
Direct
0.170 0.134 0.304
0.330 0.634 0.964
0.670 0.366 0.036
0.830 0.866 0.696
0.250 0.750 0.500
0.750 0.250 0.500
0.081 0.767 0.848
0.419 0.267 0.687
0.581 0.733 0.313
0.919 0.233 0.152

# 8
SrZnGaIr PBE-GGA optimized geometry; space-group type = R3m, No. 160; D(E_F) = 7.0 states/eV/cell; crystal system = trigonal; energy of formation from the pure elements = -422 meV/atom; magnetic moment = 0.0 μB/f.u.
1.0
4.404 0.000 0.000
-2.202 3.814 0.000
0.000 0.000 16.313
Sr Zn Ga Ir
3 3 3 3
Direct
0.000 0.000 0.000
0.333 0.667 0.667
0.667 0.333 0.333
0.000 0.000 0.189
0.333 0.667 0.856
0.667 0.333 0.522
0.000 0.000 0.470
0.333 0.667 0.136
0.667 0.333 0.803
0.000 0.000 0.809
0.333 0.667 0.476
0.667 0.333 0.142

> magnetic moment of number 2 (CsRb3Te4)?

0.0 μB/f.u.

> Which value of magnetic moment does entry 4 give?

0.0 μB/f.u.

> Look up the magnetic moment of the seventh one.

0.4 μB/f.u.